1.
La2TaCdTe GGA-PBE optimized geometry; formation energy (no corrections) = 0.172 eV per atom; space group = P4/mmm, No. 123
1.0
-4.252 1.763 -3.133
-2.657 -4.472 1.090
-2.275 2.439 4.459
Cd La Te Ta
1 2 1 1
Direct
0.000 0.500 0.000
0.000 0.000 0.500
0.500 0.000 0.000
0.500 0.500 0.500
0.000 0.000 0.000

2.
Y2ScAl6 GGA-PBE optimized geometry; DFT formation energy = -4.3 eV/f.u.; space group = P6/mmm, No. 191
1.0
3.399 0.000 0.000
0.000 6.803 -3.927
0.000 0.000 7.855
Y Sc Al
2 1 6
Direct
0.000 0.333 0.667
0.000 0.667 0.333
0.000 0.000 0.000
0.500 0.330 0.330
0.500 0.670 0.670
0.500 0.000 0.670
0.500 0.670 0.000
0.500 0.330 0.000
0.500 0.000 0.330

3.
CaY2Ge2 GGA-PBE optimized geometry; DFT formation energy = -2.6 eV/f.u.; energy above the most stable polymorph in this dataset = 163.5 meV per atom; space group = P4/mbm, No. 127
1.0
-4.175 5.271 -5.429
-5.713 1.872 6.210
1.922 2.551 0.999
Y Ge Ca
4 4 2
Direct
0.370 0.870 0.000
0.870 0.630 0.000
0.630 0.130 0.000
0.130 0.370 0.000
0.170 0.670 0.500
0.670 0.830 0.500
0.830 0.330 0.500
0.330 0.170 0.500
0.000 0.000 0.000
0.500 0.500 0.000

Electronic total energy per entry: -24.91; -46.04; -53.45 eV/cell
Calculated volume per entry: 33.0; 20.2; 25.0 A^3/atom